Mg2CrTe (meta-GGA SCAN, PBEsol geometry); raw formation energy = -0.3 eV per formula unit; space group = No. 119; electronic total energy = -65.837 eV per formula unit
1.0
4.1897 0.0000 0.0000
0.0000 4.1897 0.0000
-2.0949 -2.0949 4.6663
Mg Te Cr
2 1 1
Cartesian
2.0949 0.0000 2.3331
0.0000 0.0000 0.0000
2.0949 2.0949 0.0000
0.0000 2.0949 2.3331

Li2BeGaIr (meta-GGA SCAN, PBEsol geometry); formation energy = 0.58 eV/atom; space group = No. 123; electronic total energy = -93.691 eV per formula unit
1.0
4.5666 0.0000 0.0000
0.0000 4.5666 0.0000
0.0000 0.0000 4.6801
Be Li Ga Ir
1 2 1 1
Cartesian
2.2833 2.2833 2.3401
2.2833 0.0000 0.0000
0.0000 2.2833 0.0000
0.0000 0.0000 2.3401
0.0000 0.0000 0.0000

TlCoCl3 (meta-GGA SCAN, PBEsol geometry); raw formation energy = -5.0 eV per formula unit; space group = No. 194; electronic total energy = -118.547 eV per formula unit
1.0
-2.1906 -4.3598 2.9046
6.1033 -2.8730 0.2908
-1.9723 4.2374 4.8728
Co Cl Tl
2 6 2
Cartesian
0.0000 0.0000 0.0000
-1.0953 -2.1799 1.4523
0.8250 -1.6603 6.4557
-2.3030 -0.1879 6.3067
-1.2922 -2.3596 3.8093
1.1154 -1.3351 1.6125
3.2326 -0.6358 4.2588
4.2434 -2.8075 1.7615
1.7685 -3.7727 3.9966
0.1719 0.7773 4.0716

AlTl2Ir (meta-GGA SCAN, PBEsol geometry); formation energy = 0.62 eV/atom; space group = No. 225; electronic total energy = -221.102 eV per formula unit; energy relative to the lowest polymorph listed for this composition = 737.8 meV per atom
1.0
4.7916 0.0000 0.0000
2.3958 4.1497 0.0000
2.3958 1.3832 3.9124
Tl Al Ir
2 1 1
Cartesian
2.3958 1.3832 0.9781
7.1875 4.1497 2.9343
0.0000 0.0000 0.0000
4.7916 2.7665 1.9562

FeOs (meta-GGA SCAN, PBEsol geometry); formation energy = 0.25 eV/atom; space group = No. 8; electronic total energy = -89.507 eV per formula unit
1.0
2.6304 0.0000 0.0000
-1.3152 4.6366 -0.0005
0.0000 -1.4859 5.9336
Fe Os
3 3
Cartesian
0.0000 2.0855 3.9487
0.0000 3.2189 1.6341
0.0000 -0.0012 0.0176
1.3152 0.7064 5.6056
1.3152 1.0727 1.9707
0.0000 -0.4736 3.6341

KCd2In2 (meta-GGA SCAN, PBEsol geometry); formation energy = -0.08 eV/atom; space group = No. 127; electronic total energy = -136.324 eV per formula unit; energy relative to the lowest polymorph listed for this composition = 83.9 meV per atom
1.0
3.1641 0.0000 0.0000
0.0000 9.0876 0.0000
0.0000 0.0000 9.0876
K Cd In
2 4 4
Cartesian
0.0000 0.0000 0.0000
0.0000 4.5438 4.5438
1.5820 7.6855 3.1417
1.5820 3.1417 1.4021
1.5820 5.9459 7.6855
1.5820 1.4021 5.9459
0.0000 5.8006 1.2568
0.0000 7.8307 5.8006
0.0000 3.2869 7.8307
0.0000 1.2568 3.2869

NaSrLi2C (meta-GGA SCAN, PBEsol geometry); formation energy = 0.98 eV/atom; space group = No. 123; electronic total energy = -36.480 eV per formula unit
1.0
4.6923 0.0000 0.0000
0.0000 4.6923 0.0000
0.0000 0.0000 4.7439
Sr Li Na C
1 2 1 1
Cartesian
2.3461 2.3461 2.3719
0.0000 2.3461 0.0000
2.3461 0.0000 0.0000
0.0000 0.0000 0.0000
0.0000 0.0000 2.3719

AgTe3I (meta-GGA SCAN, PBEsol geometry); raw formation energy = -0.4 eV per formula unit; space group = No. 53; electronic total energy = -180.295 eV per formula unit
1.0
4.6329 0.0000 0.0000
0.0000 8.7194 0.0000
0.0000 0.0000 16.0548
Te I Ag
12 4 4
Cartesian
3.0160 7.5041 2.0387
3.0160 5.5750 5.9887
3.0160 5.5750 10.0661
2.9376 1.8371 8.0274
1.6170 3.1444 5.9887
1.6953 6.8823 8.0274
1.6953 6.1968 0.0000
1.6170 1.2153 2.0387
2.9376 2.5226 0.0000
3.0160 7.5041 14.0161
1.6170 3.1444 10.0661
1.6170 1.2153 14.0161
0.0000 0.0000 10.7957
0.0000 4.3597 13.2865
0.0000 4.3597 2.7683
0.0000 0.0000 5.2591
3.2686 2.1798 12.0411
1.3644 6.5395 4.0137
3.2686 2.1798 4.0137
1.3644 6.5395 12.0411